Entry from Alexandria via LeMat-Bulk: an optimized crystal structure of HoPaBe17 (PBE).

Lattice parameters (Å, degrees): 7.7239 7.7239 11.3128 90.00 90.00 120.00
Space group R3m (No. 160, hexagonal axes)
One atom of each set of equivalent atoms:
Ho 0.0000 0.0000 0.0000 [3 per cell]
Pa 0.0000 0.0000 0.3210 [3 per cell]
Be 0.0000 0.0000 0.5657 [3 per cell]
Be 0.0000 0.0000 0.7553 [3 per cell]
Be 0.9999 0.2779 0.6614 [18 per cell]
Be 0.0021 0.5010 0.1605 [9 per cell]
Be 0.0049 0.5024 0.5006 [9 per cell]
Be 0.1682 0.3363 0.1548 [9 per cell]

total magnetization = 0.00 Bohr magnetons per cell
crystal system = trigonal
uncorrected energy = -4.19 eV/atom